1.
VASP calculation (GGA-PBEsol) on a relaxed structure of NaBeNiSb2.

Cell lengths 4.1364, 4.8923, 4.8923 Å; angles 90.00, 90.00, 90.00 degrees
Element x y z (fractional)
Be  0.0000  0.0000  0.0000
Sb  0.0000  0.0000  0.5000
Sb  0.0000  0.5000  0.0000
Ni  0.5000  0.0000  0.0000
Na  0.5000  0.5000  0.5000

Values from the calculation:
- DFT total energy (Ha/atom) = -0.1405
- total magnetization (μB per formula unit) = 0.0
- energy relative to the elements, uncorrected (eV per atom) = 0.31

2.
VASP calculation (GGA-PBEsol) on a relaxed structure of Na2PtC2.

Cell lengths 4.4966, 4.4966, 5.1772 Å; angles 90.00, 90.00, 120.00 degrees
Element x y z (fractional)
C  0.0000  0.0000  0.6231
C  0.0000  0.0000  0.3769
Pt  0.0000  0.0000  0.0000
Na  0.3333  0.6667  0.2710
Na  0.6667  0.3333  0.7290

Values from the calculation:
- DFT total energy (Ha/atom) = -0.2127
- energy relative to the elements (eV/f.u.) = 0.11
- total magnetization (μB per formula unit) = 0.0
- energy relative to the lowest polymorph listed for this composition (eV/atom) = 0.0000

3.
VASP calculation (GGA-PBEsol) on a relaxed structure of Li2Pb.

Cell lengths 4.7914, 4.7914, 5.8444 Å; angles 90.00, 90.00, 120.00 degrees
Element x y z (fractional)
Pb  0.3333  0.6667  0.7500
Pb  0.6667  0.3333  0.2500
Li  0.0000  0.0000  0.0000
Li  0.0000  0.0000  0.5000
Li  0.6667  0.3333  0.7500
Li  0.3333  0.6667  0.2500

Values from the calculation:
- DFT total energy (Ha/atom) = -0.1081
- energy relative to the elements (eV/f.u.) = -0.90
- total magnetization (μB per formula unit) = 0.0

4.
VASP calculation (GGA-PBEsol) on a relaxed structure of CaYMg2Se.

Cell lengths 5.5160, 5.5160, 5.9027 Å; angles 90.00, 90.00, 90.00 degrees
Last column: magnetic moment on the atom in μB.
Element x y z (fractional)
Mg  0.5000  0.0000  0.0000  0.01
Mg  0.0000  0.5000  0.0000  0.01
Ca  0.0000  0.0000  0.0000  0.26
Se  0.5000  0.5000  0.5000  0.06
Y  0.0000  0.0000  0.5000  0.74

Values from the calculation:
- DFT total energy (Ha/atom) = -0.0835
- total magnetization (μB per formula unit) = 2.0
- energy relative to the elements, uncorrected (eV per atom) = 0.98

5.
VASP calculation (GGA-PBEsol) on a relaxed structure of CdSe4Cl.

Cell lengths 5.6247, 5.6247, 5.6247 Å; angles 60.00, 60.00, 60.00 degrees
Element x y z (fractional)
Cd  0.7500  0.7500  0.7500
Se  0.3749  0.8752  0.3749
Se  0.3749  0.3749  0.3749
Se  0.8752  0.3749  0.3749
Se  0.3749  0.3749  0.8752
Cl  0.0000  0.0000  0.0000

Values from the calculation:
- DFT total energy (Ha/atom) = -0.1055
- total magnetization (μB per formula unit) = 0.0
- energy relative to the elements, uncorrected (eV per atom) = 0.23

6.
VASP calculation (GGA-PBEsol) on a relaxed structure of CsSiTe2I.

Cell lengths 6.1593, 6.1593, 6.6014 Å; angles 90.00, 90.00, 90.00 degrees
Last column: magnetic moment on the atom in μB.
Element x y z (fractional)
Cs  0.0000  0.0000  0.0000  0.00
I  0.0000  0.0000  0.5000  -0.07
Si  0.5000  0.5000  0.5000  0.21
Te  0.0000  0.5000  0.0000  -0.13
Te  0.5000  0.0000  0.0000  -0.13

Values from the calculation:
- DFT total energy (Ha/atom) = -0.0675
- total magnetization (μB per formula unit) = 0.1
- energy relative to the lowest polymorph listed for this composition (eV/atom) = 1.5838
- energy relative to the elements, uncorrected (eV per atom) = 1.27

7.
VASP calculation (GGA-PBEsol) on a relaxed structure of AlRhBr2.

Cell lengths 4.6953, 4.6953, 4.6953 Å; angles 60.00, 60.00, 60.00 degrees
Last column: magnetic moment on the atom in μB.
Element x y z (fractional)
Br  0.7500  0.7500  0.7500  0.04
Br  0.2500  0.2500  0.2500  0.04
Rh  0.0000  0.0000  0.0000  0.63
Al  0.5000  0.5000  0.5000  0.00

Values from the calculation:
- DFT total energy (Ha/atom) = -0.1330
- total magnetization (μB per formula unit) = 0.7
- energy relative to the lowest polymorph listed for this composition (eV/atom) = 0.1756
- energy relative to the elements, uncorrected (eV per atom) = 0.37

8.
VASP calculation (GGA-PBEsol) on a relaxed structure of SrCoPb2.

Cell lengths 3.8904, 5.5789, 5.5789 Å; angles 118.65, 90.00, 90.00 degrees
Element x y z (fractional)
Pb  0.0000  0.1755  0.8245
Pb  0.0000  0.8245  0.1755
Co  0.5000  0.0000  0.0000
Sr  0.5000  0.5000  0.5000

Values from the calculation:
- DFT total energy (Ha/atom) = -0.1601
- energy relative to the elements (eV/f.u.) = 0.15
- total magnetization (μB per formula unit) = 0.0

9.
VASP calculation (GGA-PBEsol) on a relaxed structure of Ca2Si3Ag.

Cell lengths 5.9197, 5.9197, 8.2479 Å; angles 110.39, 110.39, 91.66 degrees
Element x y z (fractional)
Si  0.3262  0.3262  0.1624
Si  0.8362  0.8362  0.1624
Si  0.8375  0.8375  0.6750
Si  0.1638  0.1638  0.8376
Si  0.6738  0.6738  0.8376
Si  0.1625  0.1625  0.3250
Ag  0.6667  0.6667  0.3333
Ag  0.3333  0.3333  0.6667
Ca  0.7527  0.2473  0.0000
Ca  0.2500  0.7500  0.5000
Ca  0.2473  0.7527  0.0000
Ca  0.7500  0.2500  0.5000

Values from the calculation:
- DFT total energy (Ha/atom) = -0.1707
- total magnetization (μB per formula unit) = 0.0
- energy relative to the elements, uncorrected (eV per atom) = -0.51

10.
VASP calculation (GGA-PBEsol) on a relaxed structure of KTlCd2.

Cell lengths 3.2734, 4.1848, 8.1283 Å; angles 90.00, 90.00, 90.00 degrees
Element x y z (fractional)
Cd  0.5000  0.5000  0.1934
Cd  0.0000  0.0000  0.0167
K  0.0000  0.0000  0.4932
Tl  0.5000  0.5000  0.7967

Values from the calculation:
- DFT total energy (Ha/atom) = -0.0569
- energy relative to the elements (eV/f.u.) = -0.04
- total magnetization (μB per formula unit) = 0.0
- energy relative to the lowest polymorph listed for this composition (eV/atom) = 0.0000

11.
VASP calculation (GGA-PBEsol) on a relaxed structure of BPO4.

Cell lengths 4.3825, 4.5512, 4.3825 Å; angles 61.22, 90.00, 118.78 degrees
Element x y z (fractional)
O  0.1323  0.7463  0.9898
O  0.9898  0.2537  0.6140
O  0.6140  0.7463  0.2638
O  0.2638  0.2537  0.1323
P  0.0000  0.0000  0.0000
B  0.2500  0.5000  0.2500

Values from the calculation:
- DFT total energy (Ha/atom) = -0.2933
- total magnetization (μB per formula unit) = 0.0
- energy relative to the lowest polymorph listed for this composition (eV/atom) = 0.0000
- energy relative to the elements, uncorrected (eV per atom) = -2.35

12.
VASP calculation (GGA-PBEsol) on a relaxed structure of KRe3Hg.

Cell lengths 4.4985, 4.4985, 4.4985 Å; angles 90.00, 90.00, 90.00 degrees
Last column: magnetic moment on the atom in μB.
Element x y z (fractional)
Re  0.0000  0.0000  0.5000  0.33
Re  0.0000  0.5000  0.0000  0.33
Re  0.5000  0.0000  0.0000  0.33
Hg  0.5000  0.5000  0.5000  0.01
K  0.0000  0.0000  0.0000  0.02

Values from the calculation:
- DFT total energy (Ha/atom) = -0.1661
- energy relative to the elements (eV/f.u.) = 19.09
- total magnetization (μB per formula unit) = 1.1

13.
VASP calculation (GGA-PBEsol) on a relaxed structure of V4GeSe8.

Cell lengths 7.0905, 7.0905, 7.0905 Å; angles 60.00, 60.00, 60.00 degrees
Last column: magnetic moment on the atom in μB.
Element x y z (fractional)
Se  0.6333  0.6333  0.1001  -0.05
Se  0.1395  0.5816  0.1395  -0.04
Se  0.1395  0.1395  0.1395  -0.04
Se  0.1395  0.1395  0.5816  -0.04
Se  0.5816  0.1395  0.1395  -0.04
Se  0.6333  0.6333  0.6333  -0.05
Se  0.6333  0.1001  0.6333  -0.05
Se  0.1001  0.6333  0.6333  -0.05
V  0.3979  0.3979  0.8062  1.04
V  0.8062  0.3979  0.3979  1.04
V  0.3979  0.3979  0.3979  1.04
V  0.3979  0.8062  0.3979  1.04
Ge  0.0000  0.0000  0.0000  0.03

Values from the calculation:
- DFT total energy (Ha/atom) = -0.2350
- total magnetization (μB per formula unit) = 4.3
- energy relative to the elements, uncorrected (eV per atom) = -0.68

14.
VASP calculation (GGA-PBEsol) on a relaxed structure of K2CaFe2.

Cell lengths 4.5469, 4.5469, 7.9390 Å; angles 106.64, 106.64, 90.00 degrees
Last column: magnetic moment on the atom in μB.
Element x y z (fractional)
K  0.2500  0.7500  0.5000  0.01
K  0.7500  0.2500  0.5000  0.01
Fe  0.4300  0.4300  0.8600  2.70
Fe  0.5700  0.5700  0.1400  2.70
Ca  0.0000  0.0000  0.0000  -0.06

Values from the calculation:
- DFT total energy (Ha/atom) = -0.1294
- energy relative to the elements (eV/f.u.) = 4.72
- total magnetization (μB per formula unit) = 5.7

15.
VASP calculation (GGA-PBEsol) on a relaxed structure of YHfSi2I.

Cell lengths 5.1645, 5.1645, 5.5353 Å; angles 90.00, 90.00, 90.00 degrees
Element x y z (fractional)
Si  0.5000  0.0000  0.0000
Si  0.0000  0.5000  0.0000
Y  0.0000  0.0000  0.0000
I  0.5000  0.5000  0.5000
Hf  0.0000  0.0000  0.5000

Values from the calculation:
- DFT total energy (Ha/atom) = -0.1791
- total magnetization (μB per formula unit) = 0.0
- energy relative to the elements, uncorrected (eV per atom) = 1.24

16.
VASP calculation (GGA-PBEsol) on a relaxed structure of CuOsPb2I.

Cell lengths 4.7349, 5.9237, 5.9237 Å; angles 90.00, 90.00, 90.00 degrees
Element x y z (fractional)
Pb  0.0000  0.0000  0.5000
Pb  0.0000  0.5000  0.0000
Cu  0.5000  0.5000  0.5000
I  0.0000  0.0000  0.0000
Os  0.5000  0.0000  0.0000

Values from the calculation:
- DFT total energy (Ha/atom) = -0.1245
- total magnetization (μB per formula unit) = 0.0
- energy relative to the elements, uncorrected (eV per atom) = 1.88

17.
VASP calculation (GGA-PBEsol) on a relaxed structure of ErTmCd2.

Cell lengths 5.1432, 5.1432, 5.1432 Å; angles 60.00, 60.00, 60.00 degrees
Element x y z (fractional)
Tm  0.0000  0.0000  0.0000
Cd  0.2500  0.2500  0.2500
Cd  0.7500  0.7500  0.7500
Er  0.5000  0.5000  0.5000

Values from the calculation:
- DFT total energy (Ha/atom) = -0.1248
- energy relative to the elements (eV/f.u.) = -1.37
- total magnetization (μB per formula unit) = 0.0

18.
VASP calculation (GGA-PBEsol) on a relaxed structure of TaFe2Co.

Cell lengths 2.9576, 2.9576, 5.6901 Å; angles 90.00, 90.00, 90.00 degrees
Last column: magnetic moment on the atom in μB.
Element x y z (fractional)
Co  0.5000  0.5000  0.7677  1.14
Fe  0.5000  0.5000  0.2327  1.66
Fe  0.0000  0.0000  0.0016  2.72
Ta  0.0000  0.0000  0.4979  -0.16

Values from the calculation:
- DFT total energy (Ha/atom) = -0.3527
- energy relative to the elements (eV/f.u.) = -0.17
- total magnetization (μB per formula unit) = 5.3

19.
VASP calculation (GGA-PBEsol) on a relaxed structure of SbPIr4.

Cell lengths 5.2144, 5.2144, 5.2144 Å; angles 60.00, 60.00, 60.00 degrees
Element x y z (fractional)
Ir  0.8736  0.3755  0.3755
Ir  0.3755  0.8736  0.3755
Ir  0.3755  0.3755  0.3755
Ir  0.3755  0.3755  0.8736
Sb  0.0000  0.0000  0.0000
P  0.7500  0.7500  0.7500

Values from the calculation:
- DFT total energy (Ha/atom) = -0.2779
- total magnetization (μB per formula unit) = 0.0
- energy relative to the elements, uncorrected (eV per atom) = 0.71

20.
VASP calculation (GGA-PBEsol) on a relaxed structure of Li3HfGa.

Cell lengths 5.1753, 5.1753, 5.1753 Å; angles 90.00, 90.00, 90.00 degrees
Last column: magnetic moment on the atom in μB.
Element x y z (fractional)
Hf  0.0000  0.0000  0.0000  1.51
Li  0.5000  0.0000  0.0000  0.05
Li  0.0000  0.0000  0.5000  0.05
Li  0.0000  0.5000  0.0000  0.05
Ga  0.5000  0.5000  0.5000  0.02

Values from the calculation:
- DFT total energy (Ha/atom) = -0.0938
- energy relative to the elements (eV/f.u.) = 6.98
- total magnetization (μB per formula unit) = 2.9